Entry 1:
# Ta2TcMoOs, relaxed, DFT PBE-GGA
data_Ta2TcMoOs
_space_group_name_H-M_alt 'P 1'
_space_group_IT_number 1
_cell_length_a 4.797
_cell_length_b 4.797
_cell_length_c 4.632
_cell_angle_alpha 90.00
_cell_angle_beta 90.00
_cell_angle_gamma 90.00
loop_
_space_group_symop_operation_xyz
'x,y,z'
loop_
_atom_site_label
_atom_site_type_symbol
_atom_site_fract_x
_atom_site_fract_y
_atom_site_fract_z
Ta1 Ta 0.000 0.500 0.000
Ta2 Ta 0.500 0.000 0.000
Tc1 Tc 0.000 0.000 0.500
Mo1 Mo 0.500 0.500 0.500
Os1 Os 0.500 0.500 0.000
# Crystal system ... tetragonal
# Formation energy from the elements ... 1.610 eV/atom
# N(E_F) ... 6.8 states/eV per cell
# Space group ... P4/mmm (123)

Entry 2:
# TaTcMoOs, relaxed, DFT PBE-GGA
data_TaTcMoOs
_space_group_name_H-M_alt 'P 1'
_space_group_IT_number 1
_cell_length_a 4.464
_cell_length_b 4.464
_cell_length_c 4.464
_cell_angle_alpha 60.00
_cell_angle_beta 60.00
_cell_angle_gamma 60.00
loop_
_space_group_symop_operation_xyz
'x,y,z'
loop_
_atom_site_label
_atom_site_type_symbol
_atom_site_fract_x
_atom_site_fract_y
_atom_site_fract_z
Ta1 Ta 0.000 0.000 0.000
Tc1 Tc 0.500 0.500 0.500
Mo1 Mo 0.250 0.250 0.250
Os1 Os 0.750 0.750 0.750
# Crystal system ... cubic
# Formation energy from the elements ... 0.028 eV/atom
# N(E_F) ... 3.9 states/eV per cell
# Space group ... F-43m (216)

Entry 3:
# TaTiMoOs, relaxed, DFT PBE-GGA
data_TaTiMoOs
_space_group_name_H-M_alt 'P 1'
_space_group_IT_number 1
_cell_length_a 3.162
_cell_length_b 3.162
_cell_length_c 6.366
_cell_angle_alpha 90.00
_cell_angle_beta 90.00
_cell_angle_gamma 90.00
loop_
_space_group_symop_operation_xyz
'x,y,z'
loop_
_atom_site_label
_atom_site_type_symbol
_atom_site_fract_x
_atom_site_fract_y
_atom_site_fract_z
Ta1 Ta 0.000 0.000 0.000
Ti1 Ti 0.000 0.000 0.499
Mo1 Mo 0.500 0.500 0.744
Os1 Os 0.500 0.500 0.252
# Crystal system ... tetragonal
# Formation energy from the elements ... -0.391 eV/atom
# Polymorph energy (0 for the lowest one) ... 48 meV/atom
# N(E_F) ... 2.6 states/eV per cell
# Space group ... P4mm (99)

Entry 4:
# TaTiMoOs, relaxed, DFT PBE-GGA
data_TaTiMoOs
_space_group_name_H-M_alt 'P 1'
_space_group_IT_number 1
_cell_length_a 4.475
_cell_length_b 4.475
_cell_length_c 4.475
_cell_angle_alpha 60.00
_cell_angle_beta 60.00
_cell_angle_gamma 60.00
loop_
_space_group_symop_operation_xyz
'x,y,z'
loop_
_atom_site_label
_atom_site_type_symbol
_atom_site_fract_x
_atom_site_fract_y
_atom_site_fract_z
Ta1 Ta 0.000 0.000 0.000
Ti1 Ti 0.500 0.500 0.500
Mo1 Mo 0.250 0.250 0.250
Os1 Os 0.750 0.750 0.750
# Crystal system ... cubic
# Formation energy from the elements ... -0.440 eV/atom
# Polymorph energy (0 for the lowest one) ... 0 meV/atom
# N(E_F) ... 2.2 states/eV per cell
# Space group ... F-43m (216)